Below is a geometry-optimized Eu2PI structure, with properties calculated at the PBEsol level.

Formation energy without anion corrections ... -1.451 eV/atom
Electronic total energy ... -8.62 eV/atom
Symmetry ... R-3m

Unit cell a=4.2768 b=4.2768 c=7.8181 alpha=74.13 beta=74.13 gamma=60.00
Each line ends with the local moment (μB).
Atoms (fractional coordinates):
I 0.0000 0.0000 0.0000  -0.03
Eu 0.7660 0.7660 0.7020  6.80
P 0.5000 0.5000 0.5000  -0.10
Eu 0.2340 0.2340 0.2980  6.80